Density functional theory data (PBE) for a relaxed SmGdYTm crystal.

Computed properties:
ΔH_f (0 K) in eV per atom: 0.108
Space-group type: No. 216

a b c (Å): 5.685 5.685 5.685
angles (deg): 60.00 60.00 60.00
Fractional positions:
Gd (0.500, 0.500, 0.500)
Y (0.750, 0.750, 0.750)
Tm (0.250, 0.250, 0.250)
Sm (0.000, 0.000, 0.000)

=====

Density functional theory data (PBE) for a relaxed Rb2MgCd16 crystal.

Computed properties:
ΔH_f (0 K) in eV per atom: -0.051
Space-group type: No. 160

a b c (Å): 7.943 7.943 7.943
angles (deg): 82.55 82.55 82.55
Fractional positions:
Rb (0.657, 0.657, 0.657)
Rb (0.342, 0.342, 0.342)
Mg (0.906, 0.906, 0.906)
Cd (0.707, 0.999, 0.292)
Cd (0.999, 0.292, 0.707)
Cd (0.292, 0.707, 0.999)
Cd (0.999, 0.707, 0.292)
Cd (0.707, 0.292, 0.999)
Cd (0.292, 0.999, 0.707)
Cd (0.350, 0.848, 0.350)
Cd (0.848, 0.350, 0.350)
Cd (0.350, 0.350, 0.848)
Cd (0.650, 0.148, 0.650)
Cd (0.148, 0.650, 0.650)
Cd (0.650, 0.650, 0.148)
Cd (0.998, 0.503, 0.998)
Cd (0.503, 0.998, 0.998)
Cd (0.998, 0.998, 0.503)
Cd (0.102, 0.102, 0.102)

=====

Density functional theory data (PBE) for a relaxed Tm2Pd7Au2 crystal.

Computed properties:
ΔH_f (0 K) in eV per atom: -0.542
Space-group type: No. 12

a b c (Å): 5.149 6.571 6.571
angles (deg): 89.07 108.40 108.40
Fractional positions:
Tm (0.000, 0.218, 0.782)
Tm (0.000, 0.782, 0.218)
Pd (0.668, 0.927, 0.415)
Pd (0.332, 0.585, 0.073)
Pd (0.332, 0.073, 0.585)
Pd (0.668, 0.415, 0.927)
Pd (0.500, 0.000, 0.000)
Pd (0.349, 0.603, 0.603)
Pd (0.651, 0.397, 0.397)
Au (0.035, 0.262, 0.262)
Au (0.965, 0.738, 0.738)

=====

Density functional theory data (PBE) for a relaxed TlAgMo2 crystal.

Computed properties:
ΔH_f (0 K) in eV per atom: 0.442
Energy above the lowest structure with this stoichiometry in eV/atom: 0.000
Space-group type: No. 35

a b c (Å): 2.947 2.947 9.608
angles (deg): 90.00 90.00 113.34
Fractional positions:
Ag (0.500, 0.500, 0.770)
Mo (0.000, 0.000, 0.019)
Mo (0.500, 0.500, 0.219)
Tl (0.000, 0.000, 0.493)

=====

Density functional theory data (PBE) for a relaxed PaCuPd2O6 crystal.

Computed properties:
Formation energy without anion corrections in eV per atom: -1.422
Space-group type: No. 15

a b c (Å): 5.731 6.714 6.714
angles (deg): 75.39 96.72 96.72
Fractional positions:
Pa (0.250, 0.349, 0.651)
Pa (0.750, 0.651, 0.349)
Cu (0.250, 0.926, 0.074)
Cu (0.750, 0.074, 0.926)
Pd (0.292, 0.903, 0.603)
Pd (0.208, 0.397, 0.097)
Pd (0.708, 0.097, 0.397)
Pd (0.792, 0.603, 0.903)
O (0.115, 0.994, 0.797)
O (0.385, 0.203, 0.006)
O (0.885, 0.006, 0.203)
O (0.615, 0.797, 0.994)
O (0.448, 0.876, 0.345)
O (0.052, 0.655, 0.124)
O (0.552, 0.124, 0.655)
O (0.948, 0.345, 0.876)
O (0.060, 0.667, 0.558)
O (0.440, 0.442, 0.333)
O (0.940, 0.333, 0.442)
O (0.560, 0.558, 0.667)

=====

Density functional theory data (PBE) for a relaxed ScSi4Ni6 crystal.

Computed properties:
Energy above the lowest structure with this stoichiometry in eV/atom: 0.258
Formation energy without anion corrections in eV per atom: -0.425
Space-group type: No. 121

a b c (Å): 5.885 5.885 5.885
angles (deg): 95.73 116.75 116.75
Fractional positions:
Sc (0.000, 0.000, 0.000)
Si (0.000, 0.125, 0.544)
Si (0.582, 0.456, 0.456)
Si (0.000, 0.544, 0.125)
Si (0.418, 0.875, 0.875)
Ni (0.000, 0.760, 0.467)
Ni (0.000, 0.467, 0.760)
Ni (0.706, 0.240, 0.240)
Ni (0.500, 0.000, 0.500)
Ni (0.294, 0.533, 0.533)
Ni (0.500, 0.500, 0.000)

=====

Density functional theory data (PBE) for a relaxed ErCdNiPd crystal.

Computed properties:
ΔH_f (0 K) in eV per atom: -0.493
Space-group type: No. 216

a b c (Å): 4.684 4.684 4.684
angles (deg): 60.00 60.00 60.00
Fractional positions:
Ni (0.000, 0.000, 0.000)
Cd (0.250, 0.250, 0.250)
Pd (0.500, 0.500, 0.500)
Er (0.750, 0.750, 0.750)

=====

Density functional theory data (PBE) for a relaxed LuAlAg4 crystal.

Computed properties:
ΔH_f (0 K) in eV per atom: -0.118
Space-group type: No. 216

a b c (Å): 5.503 5.503 5.503
angles (deg): 60.00 60.00 60.00
Fractional positions:
Lu (0.250, 0.250, 0.250)
Al (0.000, 0.000, 0.000)
Ag (0.625, 0.625, 0.125)
Ag (0.625, 0.125, 0.625)
Ag (0.625, 0.625, 0.625)
Ag (0.125, 0.625, 0.625)

=====

Density functional theory data (PBE) for a relaxed KCS2N crystal.

Computed properties:
Energy above the lowest structure with this stoichiometry in eV/atom: 2.591
Formation energy without anion corrections in eV per atom: 2.965
Space-group type: No. 123

a b c (Å): 6.043 6.043 5.316
angles (deg): 90.00 90.00 90.00
Fractional positions:
C (0.500, 0.500, 0.500)
K (0.000, 0.000, 0.000)
S (0.000, 0.500, 0.000)
S (0.500, 0.000, 0.000)
N (0.000, 0.000, 0.500)

=====

Density functional theory data (PBE) for a relaxed BeWCl2 crystal.

Computed properties:
Energy above the lowest structure with this stoichiometry in eV/atom: 1.294
Formation energy without anion corrections in eV per atom: 1.115
Space-group type: No. 65

a b c (Å): 4.676 4.676 2.904
angles (deg): 90.00 90.00 106.36
Fractional positions:
Be (0.000, 0.500, 0.500)
W (0.500, 0.000, 0.500)
Cl (0.000, 0.000, 0.000)
Cl (0.500, 0.500, 0.000)

=====

Density functional theory data (PBE) for a relaxed PrTmCo crystal.

Computed properties:
ΔH_f (0 K) in eV per atom: -0.131
Energy above the lowest structure with this stoichiometry in eV/atom: 0.000
Space-group type: No. 71

a b c (Å): 3.674 6.959 7.105
angles (deg): 119.32 104.99 90.00
Fractional positions:
Pr (0.681, 0.605, 0.481)
Pr (0.129, 0.053, 0.377)
Tm (0.405, 0.569, 0.929)
Tm (0.405, 0.089, 0.929)
Co (0.802, 0.226, 0.722)
Co (0.009, 0.433, 0.136)

=====

Density functional theory data (PBE) for a relaxed CoReSb2 crystal.

Computed properties:
Energy above the lowest structure with this stoichiometry in eV/atom: 0.190
Formation energy without anion corrections in eV per atom: 0.452
Space-group type: No. 166

a b c (Å): 8.163 8.163 8.163
angles (deg): 22.69 22.69 22.69
Fractional positions:
Co (0.250, 0.250, 0.250)
Re (0.750, 0.750, 0.750)
Sb (0.997, 0.997, 0.997)
Sb (0.503, 0.503, 0.503)

=====

Calculated values (Bohr magnetons per cell) of total magnetization for the records, taken in order: 7.8; 0.0; 0.0; 0.0; 0.0; 0.0; 0.0; 0.0; 4.0; 0.0; 0.0; 1.1.